# AcTbNd2, relaxed, DFT PBE
data_AcTbNd2
_cell_length_a 5.307
_cell_length_b 5.303
_cell_length_c 6.425
_cell_angle_alpha 65.62
_cell_angle_beta 65.60
_cell_angle_gamma 90.00
_space_group_name_H-M_alt 'P 1'
_space_group_IT_number 1
_space_group_name_Hall 'P 1'
loop_
_atom_site_label
_atom_site_type_symbol
_atom_site_fract_x
_atom_site_fract_y
_atom_site_fract_z
_atom_site_occupancy
Ac1 Ac 0.250 0.750 0.500 1
Tb1 Tb 0.500 0.500 0.000 1
Nd1 Nd 0.000 0.000 0.000 1
Nd2 Nd 0.750 0.250 0.500 1
# total DFT energy (no corrections): -4.53 eV/atom
# DOS at the Fermi energy: 6.55 states/eV/cell
# space group: I-4m2, No. 119
# energy of formation: 0.15 eV/f.u.
# offset from the most stable computed form: 7 meV/atom


# AcTb2Nd, relaxed, DFT PBE
data_AcTb2Nd
_cell_length_a 3.629
_cell_length_b 8.820
_cell_length_c 11.851
_cell_angle_alpha 129.54
_cell_angle_beta 90.00
_cell_angle_gamma 90.00
_space_group_name_H-M_alt 'P 1'
_space_group_IT_number 1
_space_group_name_Hall 'P 1'
loop_
_atom_site_label
_atom_site_type_symbol
_atom_site_fract_x
_atom_site_fract_y
_atom_site_fract_z
_atom_site_occupancy
Ac1 Ac 0.500 0.521 0.744 1
Ac2 Ac 0.500 0.479 0.256 1
Tb1 Tb 0.000 0.231 0.379 1
Tb2 Tb 0.500 0.218 0.869 1
Tb3 Tb 0.500 0.782 0.131 1
Tb4 Tb 0.000 0.769 0.621 1
Nd1 Nd 0.000 0.000 0.000 1
Nd2 Nd 0.500 0.000 0.500 1
# total DFT energy (no corrections): -4.38 eV/atom
# DOS at the Fermi energy: 12.33 states/eV/cell
# space group: P2/m, No. 10
# energy of formation: 0.60 eV/f.u.
# offset from the most stable computed form: 110 meV/atom


# AcTb4Nd, relaxed, DFT PBE
data_AcTb4Nd
_cell_length_a 6.739
_cell_length_b 6.739
_cell_length_c 6.739
_cell_angle_alpha 60.00
_cell_angle_beta 60.00
_cell_angle_gamma 60.00
_space_group_name_H-M_alt 'P 1'
_space_group_IT_number 1
_space_group_name_Hall 'P 1'
loop_
_atom_site_label
_atom_site_type_symbol
_atom_site_fract_x
_atom_site_fract_y
_atom_site_fract_z
_atom_site_occupancy
Nd1 Nd 0.000 0.000 0.000 1
Ac1 Ac 0.250 0.250 0.250 1
Tb1 Tb 0.626 0.626 0.122 1
Tb2 Tb 0.626 0.122 0.626 1
Tb3 Tb 0.626 0.626 0.626 1
Tb4 Tb 0.122 0.626 0.626 1
# total DFT energy (no corrections): -4.30 eV/atom
# DOS at the Fermi energy: 15.08 states/eV/cell
# space group: F-43m, No. 216
# energy of formation: 1.60 eV/f.u.
# offset from the most stable computed form: 229 meV/atom


Copy entry 1 word for word.
# AcTbNd2, relaxed, DFT PBE
data_AcTbNd2
_cell_length_a 5.307
_cell_length_b 5.303
_cell_length_c 6.425
_cell_angle_alpha 65.62
_cell_angle_beta 65.60
_cell_angle_gamma 90.00
_space_group_name_H-M_alt 'P 1'
_space_group_IT_number 1
_space_group_name_Hall 'P 1'
loop_
_atom_site_label
_atom_site_type_symbol
_atom_site_fract_x
_atom_site_fract_y
_atom_site_fract_z
_atom_site_occupancy
Ac1 Ac 0.250 0.750 0.500 1
Tb1 Tb 0.500 0.500 0.000 1
Nd1 Nd 0.000 0.000 0.000 1
Nd2 Nd 0.750 0.250 0.500 1
# total DFT energy (no corrections): -4.53 eV/atom
# DOS at the Fermi energy: 6.55 states/eV/cell
# space group: I-4m2, No. 119
# energy of formation: 0.15 eV/f.u.
# offset from the most stable computed form: 7 meV/atom